Computed, not measured: a PBEsol-optimized structure of MnNiHg2N at the meta-GGA SCAN level of DFT.

- formation energy (no corrections) (eV per atom) = 1.14
- DOS at the Fermi energy (states/eV per cell) = 1.79
- SG = P4/mmm (123)

abc: 4.8667 4.8667 4.4873
angles: 90.00 90.00 90.00
Atoms (fractional coordinates):
1 Mn 0.0000 0.0000 0.0000
2 Ni 0.0000 0.0000 0.5000
3 Hg 0.0000 0.5000 0.5000
4 Hg 0.5000 0.0000 0.5000
5 N 0.5000 0.5000 0.0000